<w>
Here is NaFePO4 at its PBEsol-relaxed geometry from the Alexandria database. Energies are from meta-GGA SCAN.

Properties
Symmetry: No. 62
Magnetic moment, μB/atom: 0.5714

Cell: 5.0936 6.1944 10.2570 Å, 90.00 90.00 90.00°
With the nearest neighbours (Å) after each atom.
Positions (direct):
Na: 0.5000 0.5000 0.0000  4 O 2.28-2.38
Na: 0.0000 0.0000 0.5000  4 O 2.28-2.38
Na: 0.5000 0.0000 0.0000  4 O 2.28-2.38
Na: 0.0000 0.5000 0.5000  4 O 2.28-2.38
Fe: 0.5041 0.7500 0.3352  4 O 1.98-2.02
Fe: 0.9959 0.7500 0.8352  4 O 1.98-2.02
Fe: 0.4959 0.2500 0.6648  4 O 1.98-2.02
Fe: 0.0041 0.2500 0.1648  4 O 1.98-2.02
P: 0.9834 0.2500 0.8139  4 O 1.55-1.57
P: 0.5166 0.2500 0.3139  4 O 1.55-1.57
P: 0.0166 0.7500 0.1861  4 O 1.55-1.57
P: 0.4834 0.7500 0.6861  4 O 1.55-1.57
O: 0.8925 0.2500 0.6674  1 P 1.57
O: 0.6075 0.2500 0.1674  1 P 1.57
O: 0.1075 0.7500 0.3326  1 P 1.57
O: 0.3925 0.7500 0.8326  1 P 1.57
O: 0.2870 0.2500 0.8279  1 P 1.55
O: 0.2130 0.2500 0.3279  1 P 1.55
O: 0.7130 0.7500 0.1721  1 P 1.55
O: 0.7870 0.7500 0.6721  1 P 1.55
O: 0.8750 0.4549 0.8818  1 P 1.55
O: 0.6250 0.0451 0.3818  1 P 1.55
O: 0.1250 0.9549 0.1182  1 P 1.55
O: 0.3750 0.5451 0.6182  1 P 1.55
O: 0.1250 0.5451 0.1182  1 P 1.55
O: 0.3750 0.9549 0.6182  1 P 1.55
O: 0.8750 0.0451 0.8818  1 P 1.55
O: 0.6250 0.4549 0.3818  1 P 1.55

<x>
Here is NaFePO4 at its PBEsol-relaxed geometry from the Alexandria database. Energies are from meta-GGA SCAN.

Properties
Symmetry: No. 63
Magnetic moment, μB/atom: 0.5714

Cell: 4.9902 4.9902 6.7646 Å, 90.00 90.00 114.69°
With the nearest neighbours (Å) after each atom.
Positions (direct):
Na: 0.6844 0.3156 0.2500  4 O 2.26-2.39
Na: 0.3156 0.6844 0.7500  4 O 2.26-2.39
Fe: 0.0000 0.0000 0.5000  2 O 1.97
Fe: 0.0000 0.0000 0.0000  2 O 1.97
P: 0.6644 0.3356 0.7500  4 O 1.54-1.56
P: 0.3356 0.6644 0.2500  4 O 1.54-1.56
O: 0.3200 0.2069 0.7500  1 P 1.56
O: 0.2069 0.3200 0.2500  1 P 1.56
O: 0.7931 0.6800 0.7500  1 P 1.56
O: 0.6800 0.7931 0.2500  1 P 1.56
O: 0.7716 0.2284 0.5656  1 P 1.54
O: 0.7716 0.2284 0.9344  1 P 1.54
O: 0.2284 0.7716 0.0656  1 P 1.54
O: 0.2284 0.7716 0.4344  1 P 1.54

Stability verdict: <x>, ahead by 3.4 kJ/mol of atoms

<w>
Here is NbFeSn3 at its PBEsol-relaxed geometry from the Alexandria database. Energies are from meta-GGA SCAN.

Properties
Symmetry: No. 221
Magnetic moment, μB/atom: 1.1261

Cell: 4.8147 4.8147 4.8147 Å, 90.00 90.00 90.00°
With the nearest neighbours (Å) after each atom.
Positions (direct):
Nb: 0.5000 0.5000 0.5000  12 Sn 3.40
Sn: 0.0000 0.5000 0.0000  2 Fe 2.41
Sn: 0.0000 0.0000 0.5000  2 Fe 2.41
Sn: 0.5000 0.0000 0.0000  2 Fe 2.41
Fe: 0.0000 0.0000 0.0000  6 Sn 2.41

<x>
Here is NbFeSn3 at its PBEsol-relaxed geometry from the Alexandria database. Energies are from meta-GGA SCAN.

Properties
Symmetry: No. 221
Magnetic moment, μB/atom: 0.9493

Cell: 5.2809 5.2809 5.2809 Å, 90.00 90.00 90.00°
With the nearest neighbours (Å) after each atom.
Positions (direct):
Nb: 0.0000 0.0000 0.0000  6 Sn 2.64
Sn: 0.0000 0.5000 0.0000  2 Nb 2.64
Sn: 0.0000 0.0000 0.5000  2 Nb 2.64
Sn: 0.5000 0.0000 0.0000  2 Nb 2.64
Fe: 0.5000 0.5000 0.5000  12 Sn 3.73

Stability verdict: <w>, ahead by 9.4 kJ/mol of atoms

<w>
Here is ZrNb3Fe at its PBEsol-relaxed geometry from the Alexandria database. Energies are from meta-GGA SCAN.

Properties
Symmetry: No. 221
Magnetic moment, μB/atom: 0.7170

Cell: 4.7952 4.7952 4.7952 Å, 90.00 90.00 90.00°
With the nearest neighbours (Å) after each atom.
Positions (direct):
Nb: 0.0000 0.5000 0.0000  2 Zr 2.40
Nb: 0.0000 0.0000 0.5000  2 Zr 2.40
Nb: 0.5000 0.0000 0.0000  2 Zr 2.40
Fe: 0.5000 0.5000 0.5000  12 Nb 3.39
Zr: 0.0000 0.0000 0.0000  6 Nb 2.40

<x>
Here is ZrNb3Fe at its PBEsol-relaxed geometry from the Alexandria database. Energies are from meta-GGA SCAN.

Properties
Symmetry: No. 221
Magnetic moment, μB/atom: 0.0001

Cell: 4.5866 4.5866 4.5866 Å, 90.00 90.00 90.00°
With the nearest neighbours (Å) after each atom.
Positions (direct):
Nb: 0.0000 0.5000 0.0000  2 Fe 2.29
Nb: 0.0000 0.0000 0.5000  2 Fe 2.29
Nb: 0.5000 0.0000 0.0000  2 Fe 2.29
Fe: 0.0000 0.0000 0.0000  6 Nb 2.29
Zr: 0.5000 0.5000 0.5000  12 Nb 3.24

Stability verdict: <x>, ahead by 129.9 kJ/mol of atoms

<w>
Here is FeNiPt at its PBEsol-relaxed geometry from the Alexandria database. Energies are from meta-GGA SCAN.

Properties
Symmetry: No. 107
Magnetic moment, μB/atom: 1.3720

Cell: 2.6461 2.6461 5.6244 Å, 103.61 103.61 90.00°
With the nearest neighbours (Å) after each atom.
Positions (direct):
Ni: 0.3415 0.3415 0.6831  4 Fe 2.46, 4 Pt 2.64, 4 Ni 2.65
Fe: 0.9926 0.9926 0.9852  4 Ni 2.46, 4 Pt 2.62, 4 Fe 2.65
Pt: 0.6659 0.6659 0.3318  4 Fe 2.62, 4 Ni 2.64, 4 Pt 2.65

<x>
Here is FeNiPt at its PBEsol-relaxed geometry from the Alexandria database. Energies are from meta-GGA SCAN.

Properties
Symmetry: No. 156
Magnetic moment, μB/atom: 1.3965

Cell: 2.6020 4.0708 4.0708 Å, 120.00 90.00 90.00°
With the nearest neighbours (Å) after each atom.
Positions (direct):
Ni: 0.8298 0.3333 0.6667  3 Fe 2.35, 2 Ni 2.60
Fe: 0.8369 0.0000 0.0000  3 Ni 2.35, 2 Fe 2.60
Pt: 0.3333 0.6667 0.3333  2 Pt 2.60, 6 Fe 2.68-2.69, 6 Ni 2.68-2.69

<y>
Here is FeNiPt at its PBEsol-relaxed geometry from the Alexandria database. Energies are from meta-GGA SCAN.

Properties
Symmetry: No. 216
Magnetic moment, μB/atom: 1.4322

Cell: 3.9274 3.9274 3.9274 Å, 60.00 60.00 60.00°
With the nearest neighbours (Å) after each atom.
Positions (direct):
Fe: 0.2500 0.2500 0.2500  4 Ni 2.41, 4 Pt 2.41
Ni: 0.0000 0.0000 0.0000  4 Fe 2.41
Pt: 0.5000 0.5000 0.5000  4 Fe 2.41

Stability verdict: <w>, ahead by 1.2 kJ/mol of atoms

<w>
Here is FeReNi2 at its PBEsol-relaxed geometry from the Alexandria database. Energies are from meta-GGA SCAN.

Properties
Symmetry: No. 25
Magnetic moment, μB/atom: 0.8079

Cell: 2.5306 4.1006 4.4597 Å, 90.00 90.00 90.00°
With the nearest neighbours (Å) after each atom.
Positions (direct):
Re: 0.5000 0.0000 0.5335  2 Fe 2.50, 2 Re 2.53, 8 Ni 2.55-2.57
Fe: 0.5000 0.5000 0.2118  2 Re 2.50, 8 Ni 2.52-2.61, 2 Fe 2.53
Ni: 0.0000 0.0000 0.0322  4 Ni 2.47-2.53, 4 Fe 2.54, 4 Re 2.56-2.57
Ni: 0.0000 0.5000 0.7226  4 Ni 2.47-2.53, 4 Fe 2.52-2.61, 4 Re 2.55

<x>
Here is FeReNi2 at its PBEsol-relaxed geometry from the Alexandria database. Energies are from meta-GGA SCAN.

Properties
Symmetry: No. 123
Magnetic moment, μB/atom: 1.0878

Cell: 2.5585 2.5585 7.1672 Å, 90.00 90.00 90.00°
With the nearest neighbours (Å) after each atom.
Positions (direct):
Fe: 0.5000 0.5000 0.5000  8 Ni 2.50, 4 Fe 2.56
Ni: 0.0000 0.0000 0.7399  4 Fe 2.50, 4 Ni 2.56, 4 Re 2.60
Ni: 0.0000 0.0000 0.2601  4 Fe 2.50, 4 Ni 2.56, 4 Re 2.60
Re: 0.5000 0.5000 0.0000  4 Re 2.56, 8 Ni 2.60

Stability verdict: <x>, ahead by 1.3 kJ/mol of atoms